A relaxed structure of LuFeSn2, computed with GGA-PBE.

Raw total energy   -0.396 Ry/atom
D(E_F)   0.975 states/eV/atom
Magnetization   1.561 μB per formula unit

Unit cell a=4.3867 b=4.3867 c=15.4877 alpha=90.00 beta=90.00 gamma=120.00
Space group R-3m (No. 166, hexagonal axes)
Symmetry-distinct sites (fractional):
Lu1 0.0000 0.0000 0.0000 x3
Fe1 0.0000 0.0000 0.5000 x3
Sn1 0.0000 0.0000 0.2255 x6